Entry from Alexandria: a relaxed MnWO2F crystal (GGA+U).

* crystal system: tetragonal
* uncorrected energy: -6.66 eV per atom

POSCAR file:
```
MnWO2F
1.0
4.096 0.000 0.000
0.000 4.096 0.000
0.000 0.000 4.257
Mn O W F
1 2 1 1
Direct
0.500 0.500 0.500
0.000 0.500 0.000
0.500 0.000 0.000
0.000 0.000 0.000
0.000 0.000 0.500
```